No. 1
AcPrCo: relaxed, PBE-GGA.

```
data_AcPrCo
_symmetry_space_group_name_H-M 'P 1 21/m 1'
_symmetry_Int_Tables_number 11
_cell_length_a 6.630
_cell_length_b 3.933
_cell_length_c 7.148
_cell_angle_alpha 90.00
_cell_angle_beta 95.93
_cell_angle_gamma 90.00
loop_
_symmetry_equiv_pos_as_xyz
'x,y,z'
'-x,-y,-z'
'-x,y+1/2,-z'
'x,-y+1/2,z'
loop_
_atom_site_label
_atom_site_fract_x
_atom_site_fract_y
_atom_site_fract_z
Ac1 0.135 0.250 0.299
Pr1 0.368 0.250 0.800
Co1 0.399 0.750 0.527
```

Summary:
Relative energy among the computed polymorphs   3.4 kJ/mol of atoms

No. 2
AcPrCo2: relaxed, PBE-GGA.

```
data_AcPrCo2
_symmetry_space_group_name_H-M 'P m c 21'
_symmetry_Int_Tables_number 26
_cell_length_a 4.039
_cell_length_b 6.079
_cell_length_c 8.030
_cell_angle_alpha 90.00
_cell_angle_beta 90.00
_cell_angle_gamma 90.00
loop_
_symmetry_equiv_pos_as_xyz
'x,y,z'
'-x,-y,z+1/2'
'-x,y,z'
'x,-y,z+1/2'
loop_
_atom_site_label
_atom_site_fract_x
_atom_site_fract_y
_atom_site_fract_z
Ac1 0.000 0.126 0.000
Pr1 0.500 0.375 0.358
Co1 0.000 0.345 0.649
Co2 0.500 0.188 0.700
```

Summary:
Relative energy among the computed polymorphs   0.0 kJ/mol of atoms

No. 3
Ac5PrCo3: relaxed, PBE-GGA.

```
data_Ac5PrCo3
_symmetry_space_group_name_H-M 'C 1 2/m 1'
_symmetry_Int_Tables_number 12
_cell_length_a 12.834
_cell_length_b 9.752
_cell_length_c 10.470
_cell_angle_alpha 90.00
_cell_angle_beta 114.04
_cell_angle_gamma 90.00
loop_
_symmetry_equiv_pos_as_xyz
'x,y,z'
'-x,-y,-z'
'-x,y,-z'
'x,-y,z'
'x+1/2,y+1/2,z'
'-x+1/2,-y+1/2,-z'
'-x+1/2,y+1/2,-z'
'x+1/2,-y+1/2,z'
loop_
_atom_site_label
_atom_site_fract_x
_atom_site_fract_y
_atom_site_fract_z
Ac1 0.000 0.202 0.000
Ac2 0.065 0.000 0.365
Ac3 0.168 0.301 0.664
Ac4 0.232 0.500 0.034
Pr1 0.099 0.500 0.298
Co1 0.000 0.500 0.000
Co2 0.000 0.500 0.500
Co3 0.166 0.000 0.166
Co4 0.171 0.000 0.664
```

Looking at calculated formation energy for the records above, in order, we have 0.01, 0.00, -0.02 eV/atom.